Crystalline NaHo2WO6 at its relaxed geometry, computed with PBE with a Hubbard U.

Cell and atoms, written as CIF:
```
data_NaHo2WO6
_cell_length_a 5.627
_cell_length_b 5.668
_cell_length_c 5.978
_cell_angle_alpha 61.84
_cell_angle_beta 62.77
_cell_angle_gamma 60.29
_space_group_name_H-M_alt 'P 1'
_space_group_IT_number 1
_space_group_name_Hall 'P 1'
loop_
_atom_site_label
_atom_site_fract_x
_atom_site_fract_y
_atom_site_fract_z
_atom_site_occupancy
Na1 0.000 0.000 0.000 1
Ho1 0.219 0.210 0.343 1
Ho2 0.725 0.730 0.821 1
W1 0.518 0.523 0.433 1
O1 0.149 0.779 0.632 1
O2 0.343 0.590 0.175 1
O3 0.425 0.154 0.633 1
O4 0.589 0.897 0.161 1
O5 0.764 0.439 0.627 1
O6 0.889 0.344 0.168 1
```

Properties
electronic total energy = -75.3 eV per cell